The following is a PBE calculation of crystalline CsNpHgCl6 at its relaxed geometry, from the Alexandria database.

Cell: 7.3755 7.3755 7.4128 Å, 90.00 90.00 120.00°
Last column: nearest neighbours and their distance in Å.
Space group P312 (No. 149)
Unique sites:
Cs 0.0000 0.0000 0.0000 (multiplicity 1)  6 Cl 3.56
Np 0.3333 0.6667 0.5000 (multiplicity 1)  6 Cl 2.68
Hg 0.6667 0.3333 0.5000 (multiplicity 1)  6 Cl 2.85
Cl 0.0168 0.3904 0.7061 (multiplicity 6)  1 Np 2.68, 1 Hg 2.85

Calculated values
Final energy: -4.232 eV per atom


The following is a PBE calculation of crystalline Cs2NpHg3Cl6 at its relaxed geometry, from the Alexandria database.

Cell: 8.5415 14.6995 8.7534 Å, 90.00 101.54 90.00°
Last column: nearest neighbours and their distance in Å.
Space group C2/m (No. 12)
Unique sites:
Cs 0.0000 0.1652 0.0000 (multiplicity 4)  6 Cl 3.52-3.55
Np 0.0000 0.5000 0.0000 (multiplicity 2)  6 Cl 2.62-2.63
Hg 0.0000 0.0000 0.5000 (multiplicity 2)  2 Hg 3.66, 2 Cl 4.09
Hg 0.0000 0.2488 0.5000 (multiplicity 4)  1 Hg 3.66, 4 Cl 3.91-4.05
Cl 0.1645 0.3716 0.1690 (multiplicity 8)  1 Np 2.63
Cl 0.2172 0.5000 0.8262 (multiplicity 4)  1 Np 2.62

Calculated values
Final energy: -3.582 eV per atom


The following is a PBE calculation of crystalline Cs2NpHgCl6 at its relaxed geometry, from the Alexandria database.

Cell: 7.6431 11.5465 10.4855 Å, 90.00 90.00 90.00°
Last column: nearest neighbours and their distance in Å.
Space group Pmmn (No. 59, origin choice 2)
Unique sites:
Cs 0.2500 0.0221 0.1720 (multiplicity 4)  7 Cl 3.55-3.84
Np 0.2500 0.7500 0.8325 (multiplicity 2)  6 Cl 2.60-2.63
Hg 0.2500 0.2500 0.6477 (multiplicity 2)  6 Cl 3.72-4.08
Cl 0.0010 0.2500 0.3352 (multiplicity 4)  1 Np 2.60
Cl 0.0127 0.7500 0.0137 (multiplicity 4)  1 Np 2.63
Cl 0.2500 0.5229 0.8371 (multiplicity 4)  1 Np 2.62

Calculated values
Final energy: -4.267 eV per atom


The following is a PBE calculation of crystalline CsNp2HgCl8 at its relaxed geometry, from the Alexandria database.

Cell: 7.7491 7.7491 8.0017 Å, 90.00 90.00 120.00°
Last column: nearest neighbours and their distance in Å.
Space group P-3 (No. 147)
Unique sites:
Cs 0.0000 0.0000 0.0000 (multiplicity 1)  2 Hg 4.00, 6 Cl 4.07
Np 0.3333 0.6667 0.4267 (multiplicity 2)  7 Cl 2.59-2.81
Hg 0.0000 0.0000 0.5000 (multiplicity 1)  6 Cl 3.29
Cl 0.0521 0.4148 0.6604 (multiplicity 6)  2 Np 2.79-2.81
Cl 0.3333 0.6667 0.1032 (multiplicity 2)  1 Np 2.59

Calculated values
Final energy: -5.011 eV per atom


The following is a PBE calculation of crystalline Cs2HgCl6O at its relaxed geometry, from the Alexandria database.

Cell: 7.2780 7.2780 11.2010 Å, 90.00 90.00 90.00°
Last column: nearest neighbours and their distance in Å.
Space group I4/mmm (No. 139)
Unique sites:
Cs 0.0000 0.5000 0.2500 (multiplicity 4)  12 Cl 3.67-3.82
Hg 0.0000 0.0000 0.0000 (multiplicity 2)  2 Cl 2.36
Cl 0.0000 0.0000 0.2109 (multiplicity 4)  1 Hg 2.36
Cl 0.2112 0.2112 0.5000 (multiplicity 8)  1 O 2.17
O 0.0000 0.0000 0.5000 (multiplicity 2)  4 Cl 2.17

Calculated values
Final energy: -2.591 eV per atom


The following is a PBE calculation of crystalline Cs2HgClO at its relaxed geometry, from the Alexandria database.

Cell: 6.1932 6.1932 4.5649 Å, 90.00 90.00 90.00°
Last column: nearest neighbours and their distance in Å.
Space group P4/mmm (No. 123)
Unique sites:
Cs 0.0000 0.5000 0.0000 (multiplicity 2)  2 O 3.10
Hg 0.0000 0.0000 0.5000 (multiplicity 1)  2 O 2.28
Cl 0.5000 0.5000 0.5000 (multiplicity 1)  8 Cs 3.85
O 0.0000 0.0000 0.0000 (multiplicity 1)  2 Hg 2.28

Calculated values
Final energy: -2.910 eV per atom


The following is a PBE calculation of crystalline Cs2HgPCl6 at its relaxed geometry, from the Alexandria database.

Cell: 7.6032 7.6032 10.6575 Å, 90.00 90.00 90.00°
Last column: nearest neighbours and their distance in Å.
Space group I4/mmm (No. 139)
Unique sites:
Cs 0.0000 0.5000 0.2500 (multiplicity 4)  12 Cl 3.80-3.81
Hg 0.0000 0.0000 0.0000 (multiplicity 2)  6 Cl 2.93-2.98
P 0.0000 0.0000 0.5000 (multiplicity 2)  6 Cl 2.40
Cl 0.0000 0.0000 0.2750 (multiplicity 4)  1 P 2.40
Cl 0.2232 0.2232 0.5000 (multiplicity 8)  1 P 2.40

Calculated values
Final energy: -2.944 eV per atom


The following is a PBE calculation of crystalline CsHgP2Cl at its relaxed geometry, from the Alexandria database.

Cell: 7.4500 7.4500 6.3697 Å, 90.00 90.00 90.00°
Last column: nearest neighbours and their distance in Å.
Space group P4/mmm (No. 123)
Unique sites:
Cs 0.0000 0.0000 0.0000 (multiplicity 1)  2 Cl 3.18
Hg 0.5000 0.5000 0.5000 (multiplicity 1)  8 P 4.90, 4 Cl 5.27
P 0.0000 0.5000 0.0000 (multiplicity 2)  2 Cs 3.72
Cl 0.0000 0.0000 0.5000 (multiplicity 1)  2 Cs 3.18

Calculated values
Final energy: -1.954 eV per atom
Offset from the most stable computed form: 3.207 eV per formula unit


The following is a PBE calculation of crystalline CsHgP2Cl at its relaxed geometry, from the Alexandria database.

Cell: 5.0546 5.0546 6.5867 Å, 90.00 90.00 90.00°
Last column: nearest neighbours and their distance in Å.
Space group P4/mmm (No. 123)
Unique sites:
Cs 0.0000 0.0000 0.0000 (multiplicity 1)  4 Cl 3.57
Hg 0.5000 0.5000 0.5000 (multiplicity 1)  4 P 2.53
P 0.0000 0.5000 0.5000 (multiplicity 2)  2 Hg 2.53
Cl 0.5000 0.5000 0.0000 (multiplicity 1)  2 Hg 3.29, 4 Cs 3.57

Calculated values
Final energy: -2.595 eV per atom
Offset from the most stable computed form: 0.000 eV per formula unit


The following is a PBE calculation of crystalline CsHgPbCl5 at its relaxed geometry, from the Alexandria database.

Cell: 9.5286 13.0395 10.4805 Å, 90.00 112.63 90.00°
Last column: nearest neighbours and their distance in Å.
Space group C2/c (No. 15)
Unique sites:
Cs 0.0000 0.1573 0.2500 (multiplicity 4)  5 Cl 3.42-3.57
Hg 0.0000 0.1856 0.7500 (multiplicity 4)  4 Cl 2.54-2.57
Pb 0.0000 0.5000 0.0000 (multiplicity 4)  6 Cl 2.82-2.97
Cl 0.0000 0.4195 0.2500 (multiplicity 4)  2 Pb 2.82
Cl 0.1076 0.2915 0.6052 (multiplicity 8)  1 Hg 2.54
Cl 0.1822 0.0666 0.9353 (multiplicity 8)  1 Hg 2.57

Calculated values
Final energy: -2.938 eV per atom


The following is a PBE calculation of crystalline Cs2HgPbCl6 at its relaxed geometry, from the Alexandria database.

Cell: 11.1078 11.1078 11.1078 Å, 90.00 90.00 90.00°
Last column: nearest neighbours and their distance in Å.
Space group Fm-3m (No. 225)
Unique sites:
Cs 0.2500 0.2500 0.2500 (multiplicity 8)  12 Cl 3.93
Hg 0.0000 0.0000 0.0000 (multiplicity 4)  6 Cl 2.70
Pb 0.0000 0.0000 0.5000 (multiplicity 4)  6 Cl 2.85
Cl 0.0000 0.0000 0.2433 (multiplicity 24)  1 Hg 2.70, 1 Pb 2.85

Calculated values
Final energy: -3.027 eV per atom


The following is a PBE calculation of crystalline CsHg2PbCl8 at its relaxed geometry, from the Alexandria database.

Cell: 6.7369 7.2211 9.5626 Å, 110.90 95.76 100.13°
Last column: nearest neighbours and their distance in Å.
Space group P-1 (No. 2)
Unique sites:
Cs 0.0000 0.0000 0.0000 (multiplicity 1)  8 Cl 3.52-3.88
Hg 0.4676 0.2990 0.7709 (multiplicity 2)  2 Cl 2.38-2.39
Pb 0.0000 0.5000 0.5000 (multiplicity 1)  6 Cl 2.68-2.87
Cl 0.1286 0.5351 0.2439 (multiplicity 2)  1 Pb 2.76, 1 Hg 2.81
Cl 0.2316 0.8692 0.6752 (multiplicity 2)  1 Pb 2.68, 1 Hg 2.99
Cl 0.3204 0.2957 0.5315 (multiplicity 2)  1 Hg 2.39
Cl 0.4442 0.7326 0.9922 (multiplicity 2)  1 Hg 2.38

Calculated values
Final energy: -2.540 eV per atom


The following is a PBE calculation of crystalline CsHgPb2Cl8 at its relaxed geometry, from the Alexandria database.

Cell: 6.8453 7.1137 8.9810 Å, 91.65 90.29 93.82°
Last column: nearest neighbours and their distance in Å.
Space group P-1 (No. 2)
Unique sites:
Cs 0.0000 0.0000 0.0000 (multiplicity 1)  6 Cl 3.34-3.54
Hg 0.0000 0.0000 0.5000 (multiplicity 1)  2 Cl 2.35
Pb 0.4788 0.4946 0.2597 (multiplicity 2)  5 Cl 2.61-2.91
Cl 0.1259 0.2179 0.6835 (multiplicity 2)  1 Hg 2.35
Cl 0.1361 0.3116 0.2730 (multiplicity 2)  1 Pb 2.61
Cl 0.3724 0.7201 0.5128 (multiplicity 2)  2 Pb 2.81-2.87
Cl 0.4063 0.7170 0.0010 (multiplicity 2)  2 Pb 2.89-2.91

Calculated values
Final energy: -2.944 eV per atom


The following is a PBE calculation of crystalline Cs2Hg2PdCl4 at its relaxed geometry, from the Alexandria database.

Cell: 7.9215 7.9215 9.6267 Å, 90.00 90.00 90.00°
Last column: nearest neighbours and their distance in Å.
Space group I4/mmm (No. 139)
Unique sites:
Cs 0.0000 0.5000 0.2500 (multiplicity 4)  8 Cl 3.72, 4 Hg 4.03
Hg 0.0000 0.0000 0.1710 (multiplicity 4)  1 Pd 3.17, 1 Hg 3.29
Pd 0.0000 0.0000 0.5000 (multiplicity 2)  4 Cl 2.36
Cl 0.2104 0.2104 0.5000 (multiplicity 8)  1 Pd 2.36

Calculated values
Final energy: -2.711 eV per atom


The following is a PBE calculation of crystalline Cs3Hg2PdCl9 at its relaxed geometry, from the Alexandria database.

Cell: 7.4669 7.4669 9.1918 Å, 90.00 90.00 120.00°
Last column: nearest neighbours and their distance in Å.
Space group P-3m1 (No. 164)
Unique sites:
Cs 0.0000 0.0000 0.0000 (multiplicity 1)  12 Cl 3.73-3.78
Cs 0.3333 0.6667 0.6693 (multiplicity 2)  12 Cl 3.73-3.74
Hg 0.3333 0.6667 0.1778 (multiplicity 2)  6 Cl 2.71-2.73
Pd 0.0000 0.0000 0.5000 (multiplicity 1)  6 Cl 2.50
Cl 0.0000 0.5000 0.0000 (multiplicity 3)  2 Hg 2.71
Cl 0.1588 0.3176 0.3457 (multiplicity 6)  1 Pd 2.50, 1 Hg 2.73

Calculated values
Final energy: -2.794 eV per atom


The following is a PBE calculation of crystalline Cs2PmHgCl6 at its relaxed geometry, from the Alexandria database.

Cell: 8.0309 11.3384 8.0352 Å, 90.00 90.00 90.00°
Last column: nearest neighbours and their distance in Å.
Space group Pmmn (No. 59, origin choice 2)
Unique sites:
Cs 0.2500 0.0004 0.2493 (multiplicity 4)  12 Cl 3.99-4.04
Pm 0.2500 0.2500 0.7527 (multiplicity 2)  6 Cl 2.71
Hg 0.2500 0.7500 0.7474 (multiplicity 2)  6 Cl 2.96-2.97
Cl 0.0099 0.2500 0.5156 (multiplicity 4)  1 Pm 2.71, 1 Hg 2.97
Cl 0.0127 0.2500 0.9927 (multiplicity 4)  1 Pm 2.71, 1 Hg 2.97
Cl 0.2500 0.0109 0.7518 (multiplicity 4)  1 Pm 2.71, 1 Hg 2.96

Calculated values
Final energy: -3.540 eV per atom


The following is a PBE calculation of crystalline CsPmHg2Cl8 at its relaxed geometry, from the Alexandria database.

Cell: 6.7342 7.1534 9.6080 Å, 110.42 96.22 99.08°
Last column: nearest neighbours and their distance in Å.
Space group P-1 (No. 2)
Unique sites:
Cs 0.0000 0.0000 0.0000 (multiplicity 1)  6 Cl 3.48-3.77
Pm 0.0000 0.5000 0.5000 (multiplicity 1)  6 Cl 2.68-2.83
Hg 0.4660 0.3062 0.7757 (multiplicity 2)  2 Cl 2.38-2.40
Cl 0.1303 0.5337 0.2488 (multiplicity 2)  1 Pm 2.73, 1 Hg 2.85
Cl 0.2232 0.8676 0.6780 (multiplicity 2)  1 Pm 2.68
Cl 0.3202 0.2982 0.5335 (multiplicity 2)  1 Hg 2.40
Cl 0.4389 0.7310 0.9904 (multiplicity 2)  1 Hg 2.38

Calculated values
Final energy: -3.116 eV per atom


The following is a PBE calculation of crystalline CsPrHgCl6 at its relaxed geometry, from the Alexandria database.

Cell: 7.2264 7.2264 15.2332 Å, 90.00 90.00 120.00°
Last column: nearest neighbours and their distance in Å.
Space group P-31c (No. 163)
Unique sites:
Cs 0.0000 0.0000 0.0000 (multiplicity 2)  6 Cl 3.55
Pr 0.3333 0.6667 0.2500 (multiplicity 2)  6 Cl 2.78
Hg 0.3333 0.6667 0.7500 (multiplicity 2)  6 Cl 2.73
Cl 0.0055 0.3875 0.6450 (multiplicity 12)  1 Hg 2.73, 1 Pr 2.78

Calculated values
Final energy: -3.553 eV per atom


The following is a PBE calculation of crystalline Cs2PrHgCl6 at its relaxed geometry, from the Alexandria database.

Cell: 8.0903 11.4110 8.0956 Å, 90.00 90.00 90.00°
Last column: nearest neighbours and their distance in Å.
Space group Pmmn (No. 59, origin choice 2)
Unique sites:
Cs 0.2500 0.9999 0.2442 (multiplicity 4)  12 Cl 3.96-4.14
Pr 0.2500 0.2500 0.7517 (multiplicity 2)  6 Cl 2.75
Hg 0.2500 0.7500 0.7472 (multiplicity 2)  6 Cl 2.95-2.97
Cl 0.0086 0.2500 0.5128 (multiplicity 4)  1 Pr 2.75, 1 Hg 2.97
Cl 0.0103 0.2500 0.9933 (multiplicity 4)  1 Pr 2.75, 1 Hg 2.97
Cl 0.2500 0.0089 0.7550 (multiplicity 4)  1 Pr 2.75, 1 Hg 2.95

Calculated values
Final energy: -3.531 eV per atom


The following is a PBE calculation of crystalline Cs2HgPtCl at its relaxed geometry, from the Alexandria database.

Cell: 6.5455 6.5455 5.2285 Å, 90.00 90.00 90.00°
Last column: nearest neighbours and their distance in Å.
Space group P4/mmm (No. 123)
Unique sites:
Cs 0.0000 0.5000 0.0000 (multiplicity 2)  2 Pt 3.27
Hg 0.0000 0.0000 0.5000 (multiplicity 1)  2 Pt 2.61
Pt 0.0000 0.0000 0.0000 (multiplicity 1)  2 Hg 2.61
Cl 0.5000 0.5000 0.5000 (multiplicity 1)  8 Cs 4.19, 4 Hg 4.63

Calculated values
Final energy: -2.668 eV per atom


The following is a PBE calculation of crystalline Cs2HgPtCl6 at its relaxed geometry, from the Alexandria database.

Cell: 7.6867 7.6867 10.8343 Å, 90.00 90.00 90.00°
Last column: nearest neighbours and their distance in Å.
Space group I4/mmm (No. 139)
Unique sites:
Cs 0.0000 0.5000 0.2500 (multiplicity 4)  12 Cl 3.85-3.86
Hg 0.0000 0.0000 0.0000 (multiplicity 2)  6 Cl 3.03-3.05
Pt 0.0000 0.0000 0.5000 (multiplicity 2)  6 Cl 2.38
Cl 0.0000 0.0000 0.2799 (multiplicity 4)  1 Pt 2.38
Cl 0.2191 0.2191 0.5000 (multiplicity 8)  1 Pt 2.38

Calculated values
Final energy: -3.031 eV per atom


| no. | raw formation energy (eV/atom) |
| --- | --- |
| 1 | -1.43 |
| 2 | -1.36 |
| 3 | -1.66 |
| 4 | -1.53 |
| 5 | -0.79 |
| 6 | -1.15 |
| 7 | -1.09 |
| 8 | 0.81 |
| 9 | 0.17 |
| 10 | -1.18 |
| 11 | -1.35 |
| 12 | -0.88 |
| 13 | -1.00 |
| 14 | -1.06 |
| 15 | -1.13 |
| 16 | -1.76 |
| 17 | -1.37 |
| 18 | -1.66 |
| 19 | -1.74 |
| 20 | -0.69 |
| 21 | -1.12 |